1.
Compound: CaZn2Pd2
Source: Alexandria via LeMat-Bulk
Functional: PBE
Structure: optimized geometry

a b c (Å): 7.5857 7.5857 2.9802
angles (deg): 90.00 90.00 90.00
Closest atoms and distances in Å follow each position.
Sites, in units of the cell vectors:
1 Pd 0.3235 0.1765 0.5000  6 Zn 2.65-2.73
2 Pd 0.8235 0.3235 0.5000  6 Zn 2.65-2.73
3 Pd 0.6765 0.8235 0.5000  6 Zn 2.65-2.73
4 Pd 0.1765 0.6765 0.5000  6 Zn 2.65-2.73
5 Zn 0.8806 0.6194 0.0000  1 Zn 2.56, 6 Pd 2.65-2.73
6 Zn 0.1194 0.3806 0.0000  1 Zn 2.56, 6 Pd 2.65-2.73
7 Zn 0.3806 0.8806 0.0000  1 Zn 2.56, 6 Pd 2.65-2.73
8 Zn 0.6194 0.1194 0.0000  1 Zn 2.56, 6 Pd 2.65-2.73
9 Ca 0.5000 0.5000 0.0000  2 Ca 2.98, 4 Zn 3.03, 8 Pd 3.17
10 Ca 0.0000 0.0000 0.0000  2 Ca 2.98, 4 Zn 3.03, 8 Pd 3.17

Properties
Space-group type: No. 127
Calculated total energy, eV per atom: -3.528
Distance to the lowest polymorph of the same formula, eV/atom: 0.036
Energy relative to the elements, eV per atom: -0.541


2.
Compound: Ca3Zn2Pd4
Source: Alexandria via LeMat-Bulk
Functional: PBE
Structure: optimized geometry

a b c (Å): 4.3355 5.5966 8.6826
angles (deg): 98.59 90.00 112.79
Closest atoms and distances in Å follow each position.
Sites, in units of the cell vectors:
1 Ca 0.0000 0.0000 0.0000  8 Pd 3.08-3.44
2 Ca 0.6219 0.2438 0.3835  6 Pd 2.92-3.14, 1 Zn 3.24
3 Ca 0.3781 0.7562 0.6165  6 Pd 2.92-3.14, 1 Zn 3.24
4 Pd 0.0903 0.1807 0.6359  2 Zn 2.60, 2 Pd 2.76-2.83
5 Pd 0.7226 0.4453 0.0878  3 Zn 2.57-2.65, 3 Pd 2.76-2.83
6 Pd 0.2774 0.5547 0.9122  3 Zn 2.57-2.65, 3 Pd 2.76-2.83
7 Pd 0.9097 0.8193 0.3641  2 Zn 2.60, 2 Pd 2.76-2.83
8 Zn 0.6838 0.3676 0.7782  5 Pd 2.57-2.65
9 Zn 0.3162 0.6324 0.2218  5 Pd 2.57-2.65

Properties
Space-group type: No. 12
Calculated total energy, eV per atom: -3.913
Energy relative to the elements, eV per atom: -0.654


3.
Compound: Ca3ZnPd
Source: Alexandria via LeMat-Bulk
Functional: PBE
Structure: optimized geometry

a b c (Å): 5.5366 5.5366 5.5366
angles (deg): 90.00 90.00 90.00
Closest atoms and distances in Å follow each position.
Sites, in units of the cell vectors:
1 Zn 0.5000 0.5000 0.5000  12 Ca 3.91
2 Ca 0.0000 0.5000 0.0000  2 Pd 2.77
3 Ca 0.0000 0.0000 0.5000  2 Pd 2.77
4 Ca 0.5000 0.0000 0.0000  2 Pd 2.77
5 Pd 0.0000 0.0000 0.0000  6 Ca 2.77

Properties
Space-group type: No. 221
Calculated total energy, eV per atom: -2.698
Distance to the lowest polymorph of the same formula, eV/atom: 0.203
Energy relative to the elements, eV per atom: -0.203


4.
Compound: Ca2Zn3Pd4
Source: Alexandria via LeMat-Bulk
Functional: PBE
Structure: optimized geometry

a b c (Å): 5.6883 7.5366 8.1707
angles (deg): 90.00 110.37 90.00
Closest atoms and distances in Å follow each position.
Sites, in units of the cell vectors:
1 Pd 0.1869 0.7500 0.8739  3 Zn 2.55-2.57, 2 Pd 2.84
2 Pd 0.3131 0.2500 0.1261  3 Zn 2.55-2.57, 2 Pd 2.84
3 Pd 0.1761 0.9805 0.3522  5 Zn 2.62-2.70
4 Pd 0.8131 0.2500 0.1261  3 Zn 2.55-2.57, 2 Pd 2.84
5 Pd 0.6761 0.5195 0.3522  5 Zn 2.62-2.70
6 Pd 0.8239 0.0195 0.6478  5 Zn 2.62-2.70
7 Pd 0.6869 0.7500 0.8739  3 Zn 2.55-2.57, 2 Pd 2.84
8 Pd 0.3239 0.4805 0.6478  5 Zn 2.62-2.70
9 Zn 0.0189 0.7500 0.5379  5 Pd 2.57-2.66, 2 Zn 2.84
10 Zn 0.5189 0.7500 0.5379  5 Pd 2.57-2.66, 2 Zn 2.84
11 Zn 0.5000 0.5000 0.0000  6 Pd 2.55-2.70
12 Zn 0.0000 0.0000 0.0000  6 Pd 2.55-2.70
13 Zn 0.9811 0.2500 0.4621  5 Pd 2.57-2.66, 2 Zn 2.84
14 Zn 0.4811 0.2500 0.4621  5 Pd 2.57-2.66, 2 Zn 2.84
15 Ca 0.8924 0.4131 0.7848  7 Pd 2.99-3.22, 2 Zn 3.11
16 Ca 0.1076 0.5869 0.2152  7 Pd 2.99-3.22, 2 Zn 3.11
17 Ca 0.3924 0.0869 0.7848  7 Pd 2.99-3.22, 2 Zn 3.11
18 Ca 0.6076 0.9131 0.2152  7 Pd 2.99-3.22, 2 Zn 3.11

Properties
Space-group type: No. 64
Calculated total energy, eV per atom: -3.815
Energy relative to the elements, eV per atom: -0.637


5.
Compound: CaZrZnPd
Source: Alexandria via LeMat-Bulk
Functional: PBE
Structure: optimized geometry

a b c (Å): 4.8740 4.8740 4.8740
angles (deg): 60.00 60.00 60.00
Closest atoms and distances in Å follow each position.
Sites, in units of the cell vectors:
1 Zr 0.2500 0.2500 0.2500  4 Zn 2.98, 4 Pd 2.98
2 Ca 0.7500 0.7500 0.7500  4 Pd 2.98, 4 Zn 2.98
3 Pd 0.0000 0.0000 0.0000  4 Zr 2.98, 4 Ca 2.98
4 Zn 0.5000 0.5000 0.5000  4 Zr 2.98, 4 Ca 2.98

Properties
Space-group type: No. 216
Calculated total energy, eV per atom: -4.568
Energy relative to the elements, eV per atom: -0.314


6.
Compound: CaZrPd
Source: Alexandria via LeMat-Bulk
Functional: PBE
Structure: optimized geometry

a b c (Å): 3.4953 3.4953 12.2295
angles (deg): 90.00 90.00 90.00
Closest atoms and distances in Å follow each position.
Sites, in units of the cell vectors:
1 Pd 0.5000 0.5000 0.2469  4 Zr 2.74
2 Pd 0.0000 0.0000 0.7469  4 Zr 2.74
3 Zr 0.5000 0.5000 0.6501  4 Pd 2.74
4 Zr 0.0000 0.0000 0.1501  4 Pd 2.74
5 Ca 0.5000 0.5000 0.9282  4 Pd 3.32, 5 Zr 3.40-3.67, 4 Ca 3.50
6 Ca 0.0000 0.0000 0.4282  4 Pd 3.32, 5 Zr 3.40-3.67, 4 Ca 3.50

Properties
Space-group type: No. 107
Calculated total energy, eV per atom: -5.525
Distance to the lowest polymorph of the same formula, eV/atom: 0.139
Energy relative to the elements, eV per atom: -0.277


7.
Compound: CaZrPd
Source: Alexandria via LeMat-Bulk
Functional: PBE
Structure: optimized geometry

a b c (Å): 3.4367 15.9465 5.0608
angles (deg): 90.00 90.00 90.00
Closest atoms and distances in Å follow each position.
Sites, in units of the cell vectors:
1 Ca 0.0000 0.5740 0.2500  6 Pd 3.08-3.25, 2 Ca 3.44
2 Ca 0.5000 0.9260 0.7500  6 Pd 3.08-3.25, 2 Ca 3.44
3 Ca 0.0000 0.4260 0.7500  6 Pd 3.08-3.25, 2 Ca 3.44
4 Ca 0.5000 0.0740 0.2500  6 Pd 3.08-3.25, 2 Ca 3.44
5 Pd 0.0000 0.0990 0.7500  2 Zr 2.73
6 Pd 0.5000 0.4010 0.2500  2 Zr 2.73
7 Pd 0.0000 0.9010 0.2500  2 Zr 2.73
8 Pd 0.5000 0.5990 0.7500  2 Zr 2.73
9 Zr 0.5000 0.2324 0.7500  2 Pd 2.73
10 Zr 0.0000 0.7324 0.7500  2 Pd 2.73
11 Zr 0.5000 0.7676 0.2500  2 Pd 2.73
12 Zr 0.0000 0.2676 0.2500  2 Pd 2.73

Properties
Space-group type: No. 63
Calculated total energy, eV per atom: -5.633
Distance to the lowest polymorph of the same formula, eV/atom: 0.031
Energy relative to the elements, eV per atom: -0.385


8.
Compound: Ca3ZrPd
Source: Alexandria via LeMat-Bulk
Functional: PBE
Structure: optimized geometry

a b c (Å): 5.5086 5.5086 5.5086
angles (deg): 90.00 90.00 90.00
Closest atoms and distances in Å follow each position.
Sites, in units of the cell vectors:
1 Pd 0.0000 0.0000 0.0000  6 Ca 2.75
2 Ca 0.0000 0.0000 0.5000  2 Pd 2.75
3 Ca 0.5000 0.0000 0.0000  2 Pd 2.75
4 Ca 0.0000 0.5000 0.0000  2 Pd 2.75
5 Zr 0.5000 0.5000 0.5000  12 Ca 3.90

Properties
Space-group type: No. 221
Calculated total energy, eV per atom: -3.724
Distance to the lowest polymorph of the same formula, eV/atom: 0.000
Energy relative to the elements, eV per atom: 0.226


9.
Compound: CaZrPd
Source: Alexandria via LeMat-Bulk
Functional: PBE
Structure: optimized geometry

a b c (Å): 3.7913 8.1598 4.6583
angles (deg): 90.00 90.00 90.00
Closest atoms and distances in Å follow each position.
Sites, in units of the cell vectors:
1 Pd 0.5000 0.2560 0.0000  2 Zr 2.74
2 Pd 0.0000 0.7440 0.5000  2 Zr 2.74
3 Ca 0.0000 0.3563 0.5000  5 Pd 3.11-3.16
4 Ca 0.5000 0.6437 0.0000  5 Pd 3.11-3.16
5 Zr 0.5000 0.9865 0.5000  2 Pd 2.74, 4 Zr 3.01
6 Zr 0.0000 0.0135 0.0000  2 Pd 2.74, 4 Zr 3.01

Properties
Space-group type: No. 59
Calculated total energy, eV per atom: -5.661
Distance to the lowest polymorph of the same formula, eV/atom: 0.003
Energy relative to the elements, eV per atom: -0.414


10.
Compound: CaZr4Pd5
Source: Alexandria via LeMat-Bulk
Functional: PBE
Structure: optimized geometry

a b c (Å): 3.4716 3.4716 16.4472
angles (deg): 90.00 90.00 90.00
Closest atoms and distances in Å follow each position.
Sites, in units of the cell vectors:
1 Pd 0.5000 0.5000 0.1301  4 Zr 2.81, 1 Pd 3.00
2 Pd 0.5000 0.5000 0.6873  8 Zr 2.90-2.95, 2 Pd 3.00-3.08
3 Pd 0.5000 0.5000 0.5000  8 Zr 2.89, 2 Pd 3.08
4 Pd 0.5000 0.5000 0.8699  4 Zr 2.81, 1 Pd 3.00
5 Pd 0.5000 0.5000 0.3127  8 Zr 2.90-2.95, 2 Pd 3.00-3.08
6 Ca 0.0000 0.0000 0.0000  8 Pd 3.26, 4 Ca 3.47, 2 Zr 3.50
7 Zr 0.0000 0.0000 0.2130  8 Pd 2.81-2.95
8 Zr 0.0000 0.0000 0.7870  8 Pd 2.81-2.95
9 Zr 0.0000 0.0000 0.4069  8 Pd 2.89-2.90, 2 Zr 3.06-3.19
10 Zr 0.0000 0.0000 0.5931  8 Pd 2.89-2.90, 2 Zr 3.06-3.19

Properties
Space-group type: No. 123
Calculated total energy, eV per atom: -6.829
Energy relative to the elements, eV per atom: -0.613


11.
Compound: Ca2Zr2Pd
Source: Alexandria via LeMat-Bulk
Functional: PBE
Structure: optimized geometry

a b c (Å): 4.0068 4.0068 8.5572
angles (deg): 76.46 76.46 90.00
Closest atoms and distances in Å follow each position.
Sites, in units of the cell vectors:
1 Zr 0.5780 0.5780 0.8440  1 Zr 2.52
2 Zr 0.4220 0.4220 0.1560  1 Zr 2.52
3 Pd 0.0000 0.0000 0.0000  8 Zr 3.10
4 Ca 0.2500 0.7500 0.5000  4 Ca 2.83
5 Ca 0.7500 0.2500 0.5000  4 Ca 2.83

Properties
Space-group type: No. 139
Calculated total energy, eV per atom: -4.598
Distance to the lowest polymorph of the same formula, eV/atom: 0.574
Energy relative to the elements, eV per atom: 0.661


12.
Compound: CaZr2Pd
Source: Alexandria via LeMat-Bulk
Functional: PBE
Structure: optimized geometry

a b c (Å): 4.9621 4.9621 4.9621
angles (deg): 60.00 60.00 60.00
Closest atoms and distances in Å follow each position.
Sites, in units of the cell vectors:
1 Pd 0.5000 0.5000 0.5000  8 Zr 3.04
2 Zr 0.7500 0.7500 0.7500  4 Ca 3.04, 4 Pd 3.04
3 Zr 0.2500 0.2500 0.2500  4 Ca 3.04, 4 Pd 3.04
4 Ca 0.0000 0.0000 0.0000  8 Zr 3.04

Properties
Space-group type: No. 225
Calculated total energy, eV per atom: -5.916
Distance to the lowest polymorph of the same formula, eV/atom: 0.095
Energy relative to the elements, eV per atom: 0.156